4
Lattice="3.268 0.000 0.000 -1.634 3.851 -0.045 0.000 -0.903 7.907" Properties=species:S:1:pos:R:3 comment="TlZnSb2, relaxed, DFT GGA-PBEsol" relative_energy_kj_per_mol_atoms=0.00 pbc="T T T"
Sb 1.634 2.871 7.618
Sb 1.634 1.746 1.886
Tl 1.634 -0.420 4.176
Zn 0.000 1.247 5.996


4
Lattice="3.335 0.000 0.000 0.000 3.335 0.000 0.000 0.000 8.725" Properties=species:S:1:pos:R:3 comment="TlZnSb2, relaxed, DFT GGA-PBEsol" relative_energy_kj_per_mol_atoms=6.26 pbc="T T T"
Sb 0.000 0.000 8.449
Sb 1.668 1.668 2.099
Tl 0.000 0.000 4.619
Zn 1.668 1.668 6.645


10
Lattice="-3.988 5.583 -0.966 -2.454 -5.984 -2.485 0.536 -0.829 6.858" Properties=species:S:1:pos:R:3 comment="TlZn2Sb2, relaxed, DFT GGA-PBEsol" relative_energy_kj_per_mol_atoms=1.34 pbc="T T T"
Sb -1.562 0.576 2.670
Sb -4.493 -1.816 0.657
Sb -4.188 2.491 -0.413
Sb -1.867 -3.731 3.741
Tl -4.765 -0.297 -2.552
Tl -1.544 -0.096 -0.827
Zn -1.624 2.141 4.843
Zn -2.572 -3.265 -0.520
Zn -3.877 0.607 1.466
Zn -0.319 -1.732 2.857


8
Lattice="-4.876 3.896 0.206 -1.646 -2.354 5.545 6.886 3.610 0.060" Properties=species:S:1:pos:R:3 comment="TlZnSb2, relaxed, DFT GGA-PBEsol" relative_energy_kj_per_mol_atoms=2.20 pbc="T T T"
Sb -1.725 0.446 4.952
Sb -2.985 3.288 2.267
Sb 4.290 2.815 0.966
Sb 1.148 3.757 3.438
Tl 0.989 1.014 4.241
Tl 0.000 0.000 0.000
Zn -0.625 4.139 1.571
Zn -3.261 0.771 2.876


Computed, not measured: crystalline TlZn2Sb at its relaxed geometry at the GGA-PBEsol level of DFT.

extended XYZ file:
```
4
Lattice="4.966 0.000 0.000 2.483 4.300 0.000 2.483 1.433 4.054" Properties=species:S:1:pos:R:3 pbc="T T T"
Sb 0.000 0.000 0.000
Tl 4.966 2.867 2.027
Zn 2.483 1.433 1.014
Zn 7.449 4.300 3.041
```


Computed, not measured: crystalline TlZn3Sb at its relaxed geometry at the GGA-PBEsol level of DFT.

extended XYZ file:
```
5
Lattice="-1.053 -4.901 0.318 1.066 0.089 4.907 -4.794 1.096 1.022" Properties=species:S:1:pos:R:3 pbc="T T T"
Sb -2.390 -1.858 3.124
Tl 0.000 0.000 0.000
Zn 0.533 0.045 2.454
Zn -2.397 0.548 0.511
Zn -0.526 -2.450 0.159
```


Computed, not measured: crystalline Tl2ZnSb2 at its relaxed geometry at the GGA-PBEsol level of DFT.

extended XYZ file:
```
10
Lattice="-3.715 -4.273 0.895 2.141 -3.098 -5.904 4.885 -3.492 3.604" Properties=species:S:1:pos:R:3 pbc="T T T"
Sb 4.953 -4.101 0.980
Sb 4.975 -4.900 -2.746
Sb 2.073 -2.489 -3.280
Sb 2.051 -1.690 0.446
Tl 1.809 -5.031 1.848
Tl 3.620 -7.109 -0.558
Tl 1.502 -5.832 -3.254
Tl -0.309 -3.754 -0.848
Zn 0.000 0.000 0.000
Zn 3.513 -3.295 -1.150
```


4
Lattice="4.254 0.000 0.000 0.000 4.254 0.000 -2.127 -2.127 5.372" Properties=species:S:1:pos:R:3 comment="ZrTl2Sb, relaxed, DFT GGA-PBEsol" relative_energy_kj_per_mol_atoms=0.45 pbc="T T T"
Sb 2.127 2.127 0.000
Tl 2.127 0.000 2.686
Tl 0.000 2.127 2.686
Zr 0.000 0.000 0.000


3
Lattice="-0.139 3.312 -0.307 -2.789 -1.743 0.517 0.922 0.725 7.414" Properties=species:S:1:pos:R:3 comment="ZrTlSb, relaxed, DFT GGA-PBEsol" relative_energy_kj_per_mol_atoms=0.00 pbc="T T T"
Sb 0.017 0.013 0.136
Tl -0.420 2.101 4.813
Zr -1.603 0.180 2.676


Computed, not measured: crystalline Zr2TlSb at its relaxed geometry at the GGA-PBEsol level of DFT.

extended XYZ file:
```
4
Lattice="3.637 0.000 0.000 0.000 3.637 0.000 0.000 0.000 6.663" Properties=species:S:1:pos:R:3 pbc="T T T"
Sb 1.819 1.819 0.000
Tl 1.819 1.819 3.332
Zr 0.000 0.000 5.101
Zr 0.000 0.000 1.562
```


4
Lattice="3.232 0.000 0.000 0.000 3.232 0.000 0.000 0.000 9.298" Properties=species:S:1:pos:R:3 comment="ZrTl2Sb, relaxed, DFT GGA-PBEsol" relative_energy_kj_per_mol_atoms=20.18 pbc="T T T"
Sb 1.616 1.616 4.649
Tl 0.000 0.000 7.129
Tl 0.000 0.000 2.169
Zr 1.616 1.616 0.000


4
Lattice="-0.122 2.052 -3.696 3.147 -3.095 -1.823 -5.051 -2.242 1.342" Properties=species:S:1:pos:R:3 comment="ZrTl2Sb, relaxed, DFT GGA-PBEsol" relative_energy_kj_per_mol_atoms=0.32 pbc="T T T"
Sb -0.153 -2.896 -1.603
Tl -0.018 -0.014 -0.007
Tl -1.861 -0.380 -2.569
Zr -3.533 -2.759 -1.415


3
Lattice="-2.994 -1.074 -0.258 0.739 -1.021 2.932 -1.399 7.405 1.512" Properties=species:S:1:pos:R:3 comment="ZrTlSb, relaxed, DFT GGA-PBEsol" relative_energy_kj_per_mol_atoms=1.77 pbc="T T T"
Sb -3.556 5.063 4.076
Tl -2.049 1.270 2.376
Zr -1.704 4.287 1.921


Computed, not measured: crystalline Zr4TlSb at its relaxed geometry at the GGA-PBEsol level of DFT.

extended XYZ file:
```
6
Lattice="-1.935 -1.739 5.128 3.144 -3.609 3.187 2.529 1.873 4.813" Properties=species:S:1:pos:R:3 pbc="T T T"
Sb 2.803 -2.606 9.846
Tl 0.000 0.000 0.000
Zr 1.400 -1.302 4.919
Zr 2.668 -0.363 7.332
Zr 0.430 -2.173 7.490
Zr 2.977 -3.111 6.517
```


4
Lattice="3.138 0.000 0.000 0.000 4.827 -0.024 -1.569 -2.379 7.282" Properties=species:S:1:pos:R:3 comment="ZrTl2Sb, relaxed, DFT GGA-PBEsol" relative_energy_kj_per_mol_atoms=0.00 pbc="T T T"
Sb 1.569 0.000 0.000
Tl 1.569 2.428 2.759
Tl 0.000 0.020 4.498
Zr 0.000 2.414 -0.012


Computed, not measured: crystalline Zr2TlSb at its relaxed geometry at the GGA-PBEsol level of DFT.

extended XYZ file:
```
4
Lattice="3.312 0.039 0.000 -0.648 3.248 0.000 0.000 0.000 8.216" Properties=species:S:1:pos:R:3 pbc="T T T"
Sb 1.332 1.643 4.108
Tl 1.332 1.643 0.000
Zr 0.000 0.000 2.123
Zr 0.000 0.000 6.093
```


Computed, not measured: crystalline TmSb at its relaxed geometry at the GGA-PBEsol level of DFT.

extended XYZ file:
```
2
Lattice="3.701 0.000 0.000 0.000 3.701 0.000 0.000 0.000 3.701" Properties=species:S:1:pos:R:3 pbc="T T T"
Sb 1.850 1.850 1.850
Tm 0.000 0.000 0.000
```


32
Lattice="-3.332 6.079 3.822 -8.106 -4.038 -0.644 1.842 -5.297 10.031" Properties=species:S:1:pos:R:3 comment="Tm5Sb3, relaxed, DFT GGA-PBEsol" relative_energy_kj_per_mol_atoms=1.34 pbc="T T T"
Tm -0.997 0.581 1.342
Tm -9.128 -1.902 6.403
Tm -5.504 -2.296 12.113
Tm -3.562 -2.895 6.561
Tm -8.598 -3.837 11.867
Tm -0.468 -1.353 6.807
Tm -4.091 -0.960 1.096
Tm -6.034 -0.361 6.648
Tm -5.833 -5.406 11.323
Tm -4.350 2.253 8.632
Tm -3.763 2.150 1.886
Tm -5.246 -5.509 4.578
Tm -4.355 2.797 5.286
Tm -6.663 -2.489 3.483
Tm -5.240 -6.053 7.923
Tm -2.933 -0.767 9.726
Tm -2.634 -0.462 4.053
Tm -8.499 0.979 4.847
Tm -6.962 -2.794 9.157
Tm -1.097 -4.234 8.362
Sb 0.317 -1.373 3.500
Sb -9.590 -1.502 3.267
Sb -6.002 0.065 10.020
Sb -3.916 -3.701 9.632
Sb -9.912 -1.882 9.709
Sb -0.006 -1.753 9.942
Sb -3.594 -3.321 3.189
Sb -5.680 0.445 3.578
Sb -6.356 -2.572 0.144
Sb -3.142 0.108 6.882
Sb -3.240 -0.684 13.065
Sb -6.453 -3.363 6.328


Computed, not measured: crystalline TmSb at its relaxed geometry at the GGA-PBEsol level of DFT.

extended XYZ file:
```
2
Lattice="4.270 0.000 0.000 2.135 3.698 0.000 2.135 1.233 3.486" Properties=species:S:1:pos:R:3 pbc="T T T"
Sb 4.270 2.465 1.743
Tm 0.000 0.000 0.000
```


16
Lattice="-2.814 2.788 4.651 -7.754 -1.941 -3.527 3.763 -5.548 5.602" Properties=species:S:1:pos:R:3 comment="Tm5Sb3, relaxed, DFT GGA-PBEsol" relative_energy_kj_per_mol_atoms=0.00 pbc="T T T"
Tm -1.483 -2.952 4.884
Tm -3.915 -3.144 -0.484
Tm -5.321 -1.750 1.842
Tm -0.076 -4.346 2.559
Tm 2.135 -3.488 5.388
Tm -1.186 0.728 4.865
Tm -6.552 -0.768 -1.498
Tm -1.684 -1.143 1.673
Tm -5.120 -3.559 5.054
Tm -4.015 1.614 2.622
Sb 0.765 -1.468 3.349
Sb 0.184 -1.293 6.904
Sb -3.729 -0.061 -0.214
Sb -3.137 -3.870 2.428
Sb -3.667 -0.832 4.298
Sb -6.838 0.907 1.338


So what do the calculations give for raw formation energy? Going down the list: 0.132, 0.197, 0.028, 0.155, 0.185, 0.720, 0.074, -0.066, -0.103, -0.329, 0.138, -0.068, -0.085, 0.094, -0.071, -0.334, -0.779, -0.911, -1.097, -0.925 eV per atom.